# Mn3FeAs (PBE, relaxed)
# Total moment = 1.68 μB/atom
# Energy relative to the elements = 0.873 eV/atom
# Excess energy over the best structure of this formula in the dataset = 0.0 meV/atom
data_Mn3FeAs
_space_group_name_H-M_alt 'P m -3 m'
_space_group_IT_number 221
_space_group_name_Hall '-P 4 2 3'
_cell_length_a 4.3494
_cell_length_b 4.3494
_cell_length_c 4.3494
_cell_angle_alpha 90.00
_cell_angle_beta 90.00
_cell_angle_gamma 90.00
loop_
_atom_site_label
_atom_site_type_symbol
_atom_site_fract_x
_atom_site_fract_y
_atom_site_fract_z
Mn1 Mn 0.0000 0.0000 0.5000
Fe1 Fe 0.0000 0.0000 0.0000
As1 As 0.5000 0.5000 0.5000